Density functional theory data (GGA-PBE) for a relaxed structure of KCSN.

abc: 6.4137 7.0695 11.0944
angles: 90.00 90.00 90.00
Atoms (fractional coordinates):
S 0.2500 0.0744 0.1327
S 0.7500 0.9256 0.8673
K 0.7500 0.7579 0.5839
N 0.7500 0.3849 0.5285
C 0.2500 0.7454 0.5388
C 0.7500 0.2546 0.4612
S 0.2500 0.9256 0.6327
N 0.2500 0.6151 0.4715
N 0.2500 0.3849 0.9715
N 0.7500 0.6151 0.0285
K 0.2500 0.7579 0.9161
K 0.7500 0.2421 0.0839
S 0.7500 0.0744 0.3673
C 0.7500 0.7454 0.9612
C 0.2500 0.2546 0.0388
K 0.2500 0.2421 0.4161

- electronic total energy (eV per atom) = -6.091
- formation energy (no corrections) (eV per atom) = -0.397
- ρ (Mg/m³) = 1.3
- energy relative to the lowest polymorph listed for this composition (eV/atom) = 0.037
- total magnetic moment (μB per cell) = 0.00



Density functional theory data (GGA-PBE) for a relaxed structure of LiPd2W.

abc: 2.7311 4.7162 4.7162
angles: 90.00 90.00 90.00
Atoms (fractional coordinates):
Li 0.5000 0.5000 0.5000
Pd 0.0000 0.0000 0.5000
W 0.5000 0.0000 0.0000
Pd 0.0000 0.5000 0.0000

- electronic total energy (eV per atom) = -6.359
- ΔH_f (0 K) (eV per atom) = -0.0461
- ρ (Mg/m³) = 11.0
- total magnetic moment (μB per cell) = 0.00



Density functional theory data (GGA-PBE) for a relaxed structure of Ac3Pr3Ni4.

abc: 4.0673 8.0837 8.0837
angles: 88.70 90.00 90.00
Atoms (fractional coordinates):
Ac 0.0000 0.9952 0.4894
Pr 0.5000 0.6571 0.6564
Ni 0.0000 0.3878 0.6122
Ni 0.0000 0.8792 0.8880
Pr 0.5000 0.3436 0.3429
Ac 0.0000 0.5106 0.0048
Ac 0.5000 0.1607 0.8393
Ni 0.0000 0.1120 0.1208
Pr 0.5000 0.8388 0.1612
Ni 0.0000 0.6150 0.3850

- electronic total energy (eV per atom) = -5.123
- ΔH_f (0 K) (eV per atom) = -0.1444
- ρ (Mg/m³) = 8.4
- total magnetic moment (μB per cell) = 0.00